(1)
The following is a DFT calculation (PBE) of an optimized crystal structure of Sm6InTe3As2.

```
12
Lattice="-1.269 -2.222 -3.463 -5.325 -4.956 5.132 -4.896 8.466 -0.961" Properties=species:S:1:pos:R:3 pbc="T T T"
Sm -8.462 0.463 2.804
Sm -5.576 -1.368 0.245
Sm -1.422 -1.142 1.254
Sm -5.914 2.656 0.463
Sm -3.028 0.825 -2.096
Sm -10.068 2.430 -0.546
As -3.650 0.810 0.818
As -7.839 0.478 -0.110
Te -6.257 -1.686 3.375
Te -5.233 2.974 -2.667
Te -3.297 -3.589 0.835
In -0.635 -1.111 -1.731
```

## Properties
ΔE_f (raw): -1.304 eV per atom
electronic total energy: -65.43 eV per cell


(2)
The following is a DFT calculation (PBE) of an optimized crystal structure of InSn3As.

```
5
Lattice="5.464 0.000 0.000 0.000 5.464 0.000 0.000 0.000 5.464" Properties=species:S:1:pos:R:3 pbc="T T T"
Sn 0.000 0.000 2.732
Sn 0.000 2.732 0.000
Sn 2.732 0.000 0.000
As 0.000 0.000 0.000
In 2.732 2.732 2.732
```

## Properties
ΔE to the lowest computed polymorph: 0.000 eV per formula unit
electronic total energy: -17.32 eV per cell
formation energy from the elements: 0.415 eV/atom


(3)
The following is a DFT calculation (PBE) of an optimized crystal structure of In2SnAs3.

```
6
Lattice="-2.197 -3.742 1.865 5.302 -2.551 1.125 -1.427 5.978 4.332" Properties=species:S:1:pos:R:3 pbc="T T T"
Sn 0.132 -2.463 1.194
As 0.121 1.875 3.904
As 1.631 -2.226 3.434
As 0.076 -0.037 0.016
In 3.971 -0.952 2.767
In 0.265 -0.595 5.098
```

## Properties
electronic total energy: -24.11 eV per cell
formation energy from the elements: -0.114 eV/atom


(4)
The following is a DFT calculation (PBE) of an optimized crystal structure of In12Sn3As5.

```
80
Lattice="-10.109 6.708 -8.338 -5.121 -1.422 13.729 12.335 8.033 0.171" Properties=species:S:1:pos:R:3 pbc="T T T"
In -1.533 5.005 0.421
In 9.535 8.654 -0.122
In -1.006 4.761 4.906
In -0.425 5.355 -2.709
In -0.453 12.326 1.020
In 5.150 5.252 8.414
In -3.849 0.350 11.843
In 1.715 12.068 -1.815
In -1.083 2.220 11.907
In -7.370 5.073 -4.167
In -2.215 4.405 7.998
In -6.943 2.726 5.498
In -1.890 8.558 0.656
In 2.156 8.853 7.071
In 5.309 7.923 3.488
In 2.753 5.816 5.817
In -5.240 6.060 7.041
In 7.563 6.405 5.429
In -6.702 9.399 3.823
In 1.838 10.755 2.874
In -4.610 1.251 7.377
In -3.878 11.178 3.899
In -8.204 5.396 2.074
In 3.807 3.921 1.739
In -2.442 0.993 4.541
In -10.458 6.914 0.133
In -1.812 11.099 -6.345
In 1.178 6.999 1.639
In 0.954 12.969 -6.281
In -3.929 5.981 -4.551
In 1.732 4.307 8.898
In -2.471 7.964 8.271
In 0.983 2.141 1.663
In -5.648 7.503 -0.255
In 4.048 10.593 0.064
In 1.034 7.338 10.113
In 4.474 8.246 9.729
In 2.345 7.259 -1.479
In -5.051 4.467 -1.509
In -12.430 4.665 5.683
In 6.733 6.838 -0.098
In -9.628 6.481 5.660
In -8.045 8.067 -2.853
In -4.627 9.012 -3.336
In -4.073 6.320 3.923
In -0.680 8.915 -2.436
In -4.733 2.564 2.688
In -1.363 8.315 5.141
As 2.571 11.882 -4.388
As 3.262 6.165 3.171
As -0.479 2.784 9.318
As -2.561 -0.711 6.864
As -5.055 3.354 -4.169
As 0.000 0.000 0.000
As 3.607 3.306 6.950
As -6.157 7.155 2.391
As -5.466 1.437 9.949
As 6.168 4.017 0.086
As 0.634 10.155 5.235
As 1.113 7.371 -4.083
As -3.529 3.164 0.327
As 4.820 8.363 -1.282
As -2.795 11.006 1.413
As -2.416 10.535 -3.757
As -7.615 2.643 2.695
As -7.715 4.957 6.844
As -0.100 2.314 4.149
As -1.448 6.660 2.781
Sn 3.507 5.619 11.099
Sn 1.013 9.684 0.065
Sn -4.353 8.808 5.866
Sn -7.960 5.502 -1.084
Sn 0.078 6.470 7.277
Sn 8.249 7.512 2.540
Sn 5.065 7.817 6.646
Sn 1.458 4.512 -0.304
Sn -11.144 5.807 3.022
Sn -2.973 6.849 -1.715
Sn -3.908 3.635 5.496
Sn -6.402 7.700 -5.537
```

## Properties
electronic total energy: -268.91 eV per cell
formation energy from the elements: 0.044 eV/atom


(5)
The following is a DFT calculation (PBE) of an optimized crystal structure of InSn3As.

```
5
Lattice="-0.650 3.605 4.162 3.839 -2.707 2.944 3.947 3.227 -2.179" Properties=species:S:1:pos:R:3 pbc="T T T"
In 0.000 0.000 0.000
As 3.568 2.062 2.464
Sn 1.920 -1.354 1.472
Sn 1.973 1.614 -1.089
Sn -0.325 1.802 2.081
```

## Properties
ΔE to the lowest computed polymorph: 1.714 eV per formula unit
electronic total energy: -15.61 eV per cell
formation energy from the elements: 0.758 eV/atom


(6)
The following is a DFT calculation (PBE) of an optimized crystal structure of InSn3As4.

```
8
Lattice="4.644 0.000 0.726 2.265 4.054 0.726 0.368 0.216 12.867" Properties=species:S:1:pos:R:3 pbc="T T T"
As 5.896 3.459 7.939
As 3.982 2.337 4.961
As 2.190 1.285 1.209
As 0.778 0.456 10.247
Sn 1.775 1.041 3.867
Sn 5.481 3.216 10.597
Sn 3.559 2.088 7.671
In 6.903 4.050 1.496
```

## Properties
electronic total energy: -33.31 eV per cell
formation energy from the elements: 0.004 eV/atom